# 1
Material: CrCo3Ni6
Method: DFT, PBE
State: relaxed

Results
Calculated density   8.0 g/cm3
Energy above the most stable polymorph in this dataset   0.000 eV/atom
Formation energy   0.40 eV per atom

Structure (CIF):
```
data_CrCo3Ni6
_chemical_formula_sum 'Cr6 Co18 Ni36'
_cell_length_a 8.2666
_cell_length_b 8.2666
_cell_length_c 12.2132
_cell_angle_alpha 90.00
_cell_angle_beta 90.00
_cell_angle_gamma 120.00
_space_group_name_H-M_alt 'R -3'
_space_group_IT_number 148
_space_group_name_Hall '-R 3'
loop_
_atom_site_label
_atom_site_type_symbol
_atom_site_fract_x
_atom_site_fract_y
_atom_site_fract_z
_atom_site_occupancy
Cr1 Cr 0.0000 0.0000 0.0000 1
Cr2 Cr 0.0000 0.0000 0.5000 1
Co1 Co 0.0941 0.8857 0.1622 1
Ni1 Ni 0.0146 0.5413 0.6181 1
Ni2 Ni 0.0603 0.1960 0.3670 1
```

# 2
Material: CrCo2Ni
Method: DFT, PBE
State: relaxed

Results
Calculated density   8.4 g/cm3
Formation energy   0.21 eV per atom

Structure (CIF):
```
data_CrCo2Ni
_chemical_formula_sum 'Cr4 Co8 Ni4'
_cell_length_a 5.649
_cell_length_b 5.649
_cell_length_c 5.649
_cell_angle_alpha 90.00
_cell_angle_beta 90.00
_cell_angle_gamma 90.00
_space_group_name_H-M_alt 'F -4 3 m'
_space_group_IT_number 216
_space_group_name_Hall 'F -4 2 3'
loop_
_atom_site_label
_atom_site_type_symbol
_atom_site_fract_x
_atom_site_fract_y
_atom_site_fract_z
_atom_site_occupancy
Cr1 Cr 0.000 0.000 0.000 1
Co1 Co 0.000 0.000 0.500 1
Co2 Co 0.250 0.250 0.750 1
Ni1 Ni 0.250 0.250 0.250 1
```

# 3
Material: Cr2Co2Ni15
Method: DFT, PBE
State: relaxed

Results
Calculated density   8.1 g/cm3
Formation energy   0.18 eV per atom

Structure (CIF):
```
data_Cr2Co2Ni15
_chemical_formula_sum 'Cr6 Co6 Ni45'
_cell_length_a 8.0531
_cell_length_b 8.0531
_cell_length_c 12.0864
_cell_angle_alpha 90.00
_cell_angle_beta 90.00
_cell_angle_gamma 120.00
_space_group_name_H-M_alt 'R -3 m'
_space_group_IT_number 166
_space_group_name_Hall '-R 3 2"'
loop_
_atom_site_label
_atom_site_type_symbol
_atom_site_fract_x
_atom_site_fract_y
_atom_site_fract_z
_atom_site_occupancy
Cr1 Cr 0.0000 0.0000 0.1627 1
Co1 Co 0.0000 0.0000 0.4070 1
Ni1 Ni 0.0000 0.3083 0.5000 1
Ni2 Ni 0.0000 0.5000 0.0000 1
Ni3 Ni 0.0029 0.5014 0.6554 1
```

# 4
Material: Cr2CoNi5
Method: DFT, PBE
State: relaxed

Results
Calculated density   8.6 g/cm3
Formation energy   0.09 eV per atom

Structure (CIF):
```
data_Cr2CoNi5
_chemical_formula_sum 'Cr4 Co2 Ni10'
_cell_length_a 4.983
_cell_length_b 14.256
_cell_length_c 2.476
_cell_angle_alpha 90.00
_cell_angle_beta 90.00
_cell_angle_gamma 90.00
_space_group_name_H-M_alt 'P b a m'
_space_group_IT_number 55
_space_group_name_Hall '-P 2 2ab'
loop_
_atom_site_label
_atom_site_type_symbol
_atom_site_fract_x
_atom_site_fract_y
_atom_site_fract_z
_atom_site_occupancy
Cr1 Cr 0.244 0.124 0.000 1
Co1 Co 0.000 0.000 0.500 1
Ni1 Ni 0.000 0.500 0.500 1
Ni2 Ni 0.003 0.750 0.500 1
Ni3 Ni 0.249 0.376 0.000 1
```

# 5
Material: Cr2CoNi8
Method: DFT, PBE
State: relaxed

Results
Calculated density   8.3 g/cm3
Formation energy   0.16 eV per atom

Structure (CIF):
```
data_Cr2CoNi8
_chemical_formula_sum 'Cr4 Co2 Ni16'
_cell_length_a 3.464
_cell_length_b 7.082
_cell_length_c 10.307
_cell_angle_alpha 90.00
_cell_angle_beta 90.00
_cell_angle_gamma 90.00
_space_group_name_H-M_alt 'I m m m'
_space_group_IT_number 71
_space_group_name_Hall '-I 2 2'
loop_
_atom_site_label
_atom_site_type_symbol
_atom_site_fract_x
_atom_site_fract_y
_atom_site_fract_z
_atom_site_occupancy
Cr1 Cr 0.000 0.000 0.162 1
Co1 Co 0.000 0.000 0.500 1
Ni1 Ni 0.000 0.243 0.000 1
Ni2 Ni 0.000 0.255 0.337 1
Ni3 Ni 0.000 0.500 0.172 1
```

# 6
Material: CrCo3Ni6
Method: DFT, PBE
State: relaxed

Results
Calculated density   7.7 g/cm3
Energy above the most stable polymorph in this dataset   0.081 eV/atom
Formation energy   0.48 eV per atom

Structure (CIF):
```
data_CrCo3Ni6
_chemical_formula_sum 'Cr2 Co6 Ni12'
_cell_length_a 6.409
_cell_length_b 16.080
_cell_length_c 2.447
_cell_angle_alpha 90.00
_cell_angle_beta 90.00
_cell_angle_gamma 90.00
_space_group_name_H-M_alt 'C m m m'
_space_group_IT_number 65
_space_group_name_Hall '-C 2 2'
loop_
_atom_site_label
_atom_site_type_symbol
_atom_site_fract_x
_atom_site_fract_y
_atom_site_fract_z
_atom_site_occupancy
Cr1 Cr 0.000 0.000 0.000 1
Co1 Co 0.000 0.500 0.000 1
Co2 Co 0.250 0.250 0.500 1
Ni1 Ni 0.000 0.138 0.500 1
Ni2 Ni 0.187 0.379 0.000 1
```

# 7
Material: CrCoNi
Method: DFT, PBE
State: relaxed

Results
Calculated density   7.3 g/cm3
Energy above the most stable polymorph in this dataset   0.566 eV/atom
Formation energy   0.58 eV per atom

Structure (CIF):
```
data_CrCoNi
_chemical_formula_sum 'Cr4 Co4 Ni4'
_cell_length_a 5.359
_cell_length_b 5.359
_cell_length_c 5.359
_cell_angle_alpha 90.00
_cell_angle_beta 90.00
_cell_angle_gamma 90.00
_space_group_name_H-M_alt 'F -4 3 m'
_space_group_IT_number 216
_space_group_name_Hall 'F -4 2 3'
loop_
_atom_site_label
_atom_site_type_symbol
_atom_site_fract_x
_atom_site_fract_y
_atom_site_fract_z
_atom_site_occupancy
Cr1 Cr 0.000 0.000 0.000 1
Co1 Co 0.250 0.250 0.750 1
Ni1 Ni 0.250 0.250 0.250 1
```

# 8
Material: CrCo5Ni4
Method: DFT, PBE
State: relaxed

Results
Calculated density   7.9 g/cm3
Formation energy   0.30 eV per atom

Structure (CIF):
```
data_CrCo5Ni4
_chemical_formula_sum 'Cr2 Co10 Ni8'
_cell_length_a 3.902
_cell_length_b 7.584
_cell_length_c 8.280
_cell_angle_alpha 90.00
_cell_angle_beta 90.00
_cell_angle_gamma 90.00
_space_group_name_H-M_alt 'I m m m'
_space_group_IT_number 71
_space_group_name_Hall '-I 2 2'
loop_
_atom_site_label
_atom_site_type_symbol
_atom_site_fract_x
_atom_site_fract_y
_atom_site_fract_z
_atom_site_occupancy
Cr1 Cr 0.000 0.000 0.000 1
Co1 Co 0.000 0.300 0.203 1
Co2 Co 0.000 0.500 0.000 1
Ni1 Ni 0.000 0.000 0.312 1
Ni2 Ni 0.000 0.247 0.500 1
```